HPt3Rh: optimized geometry, PBE.

a b c (Å): 4.8438 4.8438 4.8438
angles (deg): 90.00 90.00 90.00
Space group Pm-3m (No. 221)
Symmetry-distinct sites (fractional):
H  0.0000  0.0000  0.0000 [1 per cell]
Pt  0.0000  0.5000  0.5000 [3 per cell]
Rh  0.5000  0.5000  0.5000 [1 per cell]

Output
Energy relative to the lowest polymorph listed for this composition, eV per atom: 1.7176